5
Lattice="-6.301 -2.037 0.684 2.128 -5.628 2.849 -0.170 1.695 3.475" Properties=species:S:1:pos:R:3 comment="Sr2ZrMoO | the Alexandria database | PBE with a Hubbard U | optimized geometry" dos_ef_per_ev_fu=5.08 e_tot_ev_per_atom=-4.38 sg="No. 123" pbc="T T T"
Sr 1.064 -2.814 1.424
Sr -3.151 -1.018 0.342
Mo 0.000 0.000 0.000
O -0.085 0.847 1.738
Zr -2.171 -2.985 3.504